# Ba2NaNi

A geometry-optimized Ba2NaNi structure (PBE-GGA, Alexandria).

Cell and atoms, written as extended XYZ:
```
8
Lattice="9.326 0.000 0.000 0.000 9.326 0.000 4.663 4.663 3.871" Properties=species:S:1:pos:R:3 pbc="T T T"
Ni 0.000 0.000 0.000
Ni 9.326 4.663 1.935
Ba 1.538 6.995 0.968
Ba 7.788 2.332 0.968
Ba 6.995 6.201 2.903
Na 4.663 9.326 1.935
Na 4.663 4.663 0.000
Ba 11.658 12.452 2.903
```

- energy of formation from the pure elements (eV per atom) = 0.24
- offset from the most stable computed form (eV per atom) = 0.227
- M_tot (μB/cell) = 0.000
- raw total energy (eV/atom) = -2.492
- calculated volume (A^3/atom) = 42.1
- density of states at the Fermi level (states/eV per atom) = 1.19

***

# BaNaNi

A geometry-optimized BaNaNi structure (PBE-GGA, Alexandria).

Cell and atoms, written as extended XYZ:
```
6
Lattice="-0.208 4.124 0.865 -3.567 1.656 1.517 5.424 -0.350 13.148" Properties=species:S:1:pos:R:3 pbc="T T T"
Na 3.293 3.481 12.983
Ba 1.524 0.517 6.197
Ba 0.218 1.271 2.305
Na 0.103 3.727 11.056
Ni -0.386 2.819 5.049
Ni -1.647 4.748 5.834
```

- energy of formation from the pure elements (eV per atom) = -0.01
- offset from the most stable computed form (eV per atom) = 0.000
- M_tot (μB/cell) = 0.140
- raw total energy (eV/atom) = -3.016
- calculated volume (A^3/atom) = 36.0
- density of states at the Fermi level (states/eV per atom) = 0.88

***

# Ba2NaNi

A geometry-optimized Ba2NaNi structure (PBE-GGA, Alexandria).

Cell and atoms, written as extended XYZ:
```
8
Lattice="4.201 0.000 0.770 1.763 8.024 2.225 0.237 0.810 10.551" Properties=species:S:1:pos:R:3 pbc="T T T"
Ba 3.412 3.065 5.072
Ni 1.127 0.789 5.695
Ni 5.074 8.045 7.851
Na 4.383 3.497 11.618
Ba 2.774 1.028 8.554
Ba 3.427 7.806 4.992
Na 1.818 5.337 1.927
Ba 2.789 5.769 8.474
```

- energy of formation from the pure elements (eV per atom) = 0.02
- offset from the most stable computed form (eV per atom) = 0.000
- M_tot (μB/cell) = 0.000
- raw total energy (eV/atom) = -2.720
- calculated volume (A^3/atom) = 43.5
- density of states at the Fermi level (states/eV per atom) = 0.99

***

# Ba4Na5Ni2

A geometry-optimized Ba4Na5Ni2 structure (PBE-GGA, Alexandria).

Cell and atoms, written as extended XYZ:
```
11
Lattice="4.206 0.000 0.000 0.000 9.687 -1.303 0.000 0.410 10.968" Properties=species:S:1:pos:R:3 pbc="T T T"
Na 0.000 8.369 8.432
Ba 2.103 8.230 1.000
Na 0.000 4.813 6.767
Ba 2.103 2.080 4.596
Na 0.000 4.844 -0.652
Ni 0.000 9.452 3.081
Ba 2.103 8.017 5.070
Na 0.000 5.284 2.898
Ba 2.103 1.868 8.665
Ni 0.000 0.646 6.584
Na 0.000 1.728 1.233
```

- energy of formation from the pure elements (eV per atom) = 0.03
- M_tot (μB/cell) = 0.000
- raw total energy (eV/atom) = -2.319
- calculated volume (A^3/atom) = 40.8
- density of states at the Fermi level (states/eV per atom) = 0.59